Entry from the Alexandria database: ZnSb2W after structural relaxation (GGA-PBE).

a = 3.2130 Å, b = 3.2130 Å, c = 31.3307 Å
α = 90.00°, β = 90.00°, γ = 120.00°
Space group R3m (No. 160, hexagonal axes)
Inequivalent atoms, fractional coordinates:
Zn 0.0000 0.0000 0.0000 (multiplicity 3)
Sb 0.0000 0.0000 0.5350 (multiplicity 3)
Sb 0.0000 0.0000 0.7355 (multiplicity 3)
W 0.0000 0.0000 0.2685 (multiplicity 3)

Values from the calculation:
VASP energy = -5.12 eV/atom
density of states at the Fermi level = 3.63 states/eV/f.u.